NdReSi: relaxed, PBE.

Cell: 4.499 4.499 4.499 Å, 60.00 60.00 60.00°
Element x y z (fractional)
Nd (0.000, 0.000, 0.000)
Re (0.500, 0.500, 0.500)
Si (0.250, 0.250, 0.250)

- space-group type = F-43m, No. 216
- calculated volume (Å³/cell) = 64.4
- VASP energy (eV/cell) = -21.6

AlCuTc2: relaxed, PBE.

Cell: 4.273 4.273 4.273 Å, 60.00 60.00 60.00°
Element x y z (fractional)
Al (0.000, 0.000, 0.000)
Cu (0.250, 0.250, 0.250)
Tc (0.500, 0.500, 0.500)
Tc (0.750, 0.750, 0.750)

- space-group type = F-43m, No. 216
- calculated volume (Å³/cell) = 55.2
- VASP energy (eV/cell) = -28.6

PrTm2Mg3Tl2Cd: relaxed, PBE.

Cell: 4.659 7.620 7.620 Å, 121.24 90.00 90.00°
Element x y z (fractional)
Pr (0.000, 0.000, 0.000)
Tm (0.000, 0.424, 0.851)
Tm (0.000, 0.851, 0.424)
Mg (0.500, 0.189, 0.427)
Mg (0.500, 0.427, 0.189)
Mg (0.500, 0.668, 0.668)
Tl (0.500, 0.096, 0.753)
Tl (0.500, 0.753, 0.096)
Cd (0.000, 0.439, 0.439)

- space-group type = Amm2, No. 38
- calculated volume (Å³/cell) = 231.3
- VASP energy (eV/cell) = -26.8

TmAsN2O: relaxed, PBE.

Cell: 3.402 3.632 4.773 Å, 90.00 90.00 90.00°
Element x y z (fractional)
Tm (0.000, 0.000, 0.000)
As (0.500, 0.500, 0.465)
N (0.000, 0.500, 0.298)
N (0.500, 0.500, 0.833)
O (0.500, 0.000, 0.324)

- space-group type = Pmm2, No. 25
- calculated volume (Å³/cell) = 59.0
- VASP energy (eV/cell) = -35.0

GdSbMo: relaxed, PBE.

Cell: 4.759 4.759 4.759 Å, 60.00 60.00 60.00°
Element x y z (fractional)
Gd (0.000, 0.000, 0.000)
Sb (0.250, 0.250, 0.250)
Mo (0.500, 0.500, 0.500)

- space-group type = F-43m, No. 216
- calculated volume (Å³/cell) = 76.2
- VASP energy (eV/cell) = -19.0

TlCuSiTeSe2: relaxed, PBE.

Cell: 7.767 7.767 10.830 Å, 90.00 90.00 153.60°
Element x y z (fractional)
Tl (0.250, 0.750, 0.750)
Tl (0.750, 0.250, 0.250)
Cu (0.085, 0.915, 0.250)
Cu (0.915, 0.085, 0.750)
Si (0.500, 0.500, 0.000)
Si (0.500, 0.500, 0.500)
Te (0.449, 0.551, 0.250)
Te (0.551, 0.449, 0.750)
Se (0.117, 0.883, 0.034)
Se (0.117, 0.883, 0.466)
Se (0.883, 0.117, 0.534)
Se (0.883, 0.117, 0.966)

- space-group type = Cmcm, No. 63
- calculated volume (Å³/cell) = 290.5
- VASP energy (eV/cell) = -45.0

TbHg: relaxed, PBE.

Cell: 3.618 3.618 4.784 Å, 90.00 90.00 120.00°
Element x y z (fractional)
Tb (0.000, 0.000, 0.000)
Hg (0.333, 0.667, 0.500)

- space-group type = P-6m2, No. 187
- calculated volume (Å³/cell) = 54.2
- energy of formation (eV per formula unit) = -0.59

DyAsPdO: relaxed, PBE.

Cell: 3.532 7.727 5.421 Å, 90.00 90.00 90.00°
Element x y z (fractional)
Dy (0.000, 0.189, 0.000)
Dy (0.000, 0.811, 0.500)
As (0.000, 0.433, 0.516)
As (0.000, 0.567, 0.016)
Pd (0.500, 0.219, 0.524)
Pd (0.500, 0.781, 0.024)
O (0.500, 0.066, 0.127)
O (0.500, 0.934, 0.627)

- space-group type = Pmc2_1, No. 26
- calculated volume (Å³/cell) = 147.9
- VASP energy (eV/cell) = -49.9